{
  "formula": "ScVIn2Tc",
  "functional": "PBE",
  "state": "optimized geometry",
  "formation_energy_ev_per_fu": 2.6,
  "magnetic_moment_mub_per_cell": 1.16,
  "cell": [[5.157, 0.000, 0.000], [0.000, 4.516, 0.000], [0.000, 0.000, 5.157]],
  "species": ["Tc", "V", "In", "In", "Sc"],
  "frac_coords": [[0.000, 0.000, 0.000], [0.000, 0.500, 0.000], [0.000, 0.000, 0.500], [0.500, 0.000, 0.000], [0.500, 0.500, 0.500]]
}